# YGa6Ni4

A geometry-optimized YGa6Ni4 structure (GGA-PBE, the Alexandria database).

Computed properties:
As for the formation energy: -5.08 eV/f.u. The value obtained for the energy is -52.83 eV for the cell shown. The value obtained for the total magnetic moment is 0.000 μB/atom.

abc: 6.9557 6.9557 3.9388
angles: 90.00 90.00 120.00
With the nearest neighbours (Å) after each atom.
Space group P-6m2 (No. 187)
One atom of each set of equivalent atoms:
1 Y 0.0000 0.0000 0.0000 x1  6 Ga 3.08, 6 Ni 3.20
2 Ga 0.1965 0.3930 0.5000 x3  4 Ni 2.45-2.57
3 Ga 0.5344 0.0687 0.0000 x3  5 Ni 2.42-2.51
4 Ni 0.3333 0.6667 0.0000 x1  9 Ga 2.42-2.57
5 Ni 0.4180 0.2090 0.5000 x3  6 Ga 2.45-2.51, 2 Ni 2.59